DFT (PBE-GGA) results for a geometry-optimized Hg2PtBr6 structure.

The crystal system is monoclinic. The space group is P2_1/c. The total energy comes out at -2.20 eV/atom.

a b c (Å): 4.838 12.843 10.771
angles (deg): 90.00 90.00 95.67
Element x y z (fractional)
Br: 0.771 0.621 0.539
Br: 0.710 0.391 0.145
Br: 0.643 0.124 0.333
Br: 0.229 0.379 0.461
Br: 0.143 0.624 0.167
Br: 0.271 0.121 0.961
Br: 0.729 0.879 0.039
Br: 0.790 0.109 0.645
Br: 0.210 0.891 0.355
Br: 0.857 0.376 0.833
Br: 0.290 0.609 0.855
Br: 0.357 0.876 0.667
Hg: 0.214 0.491 0.657
Hg: 0.286 0.009 0.157
Hg: 0.786 0.509 0.343
Hg: 0.714 0.991 0.843
Pt: 0.500 0.000 0.500
Pt: 0.000 0.500 0.000

***

DFT (PBE-GGA) results for a geometry-optimized Hg12Pt3Br5 structure.

The crystal system is cubic. As for the density of states at the Fermi level: 24.71 states/eV per cell. The space group is Ia-3d. The total energy comes out at -1.53 eV/atom.

a b c (Å): 14.665 14.665 14.665
angles (deg): 109.47 109.47 109.47
Element x y z (fractional)
Pt: 0.125 0.875 0.750
Pt: 0.625 0.375 0.750
Pt: 0.375 0.625 0.250
Pt: 0.875 0.125 0.250
Pt: 0.625 0.250 0.375
Pt: 0.250 0.125 0.375
Pt: 0.875 0.750 0.125
Pt: 0.750 0.375 0.125
Pt: 0.250 0.625 0.875
Pt: 0.375 0.750 0.625
Pt: 0.125 0.250 0.875
Pt: 0.750 0.875 0.625
Hg: 0.247 0.577 0.635
Hg: 0.747 0.135 0.077
Hg: 0.135 0.387 0.058
Hg: 0.887 0.830 0.753
Hg: 0.865 0.253 0.423
Hg: 0.113 0.170 0.247
Hg: 0.613 0.747 0.670
Hg: 0.247 0.670 0.113
Hg: 0.577 0.247 0.135
Hg: 0.753 0.423 0.365
Hg: 0.635 0.558 0.887
Hg: 0.442 0.365 0.613
Hg: 0.923 0.365 0.253
Hg: 0.635 0.077 0.247
Hg: 0.170 0.113 0.747
Hg: 0.058 0.887 0.135
Hg: 0.170 0.058 0.923
Hg: 0.365 0.923 0.753
Hg: 0.670 0.423 0.558
Hg: 0.442 0.077 0.330
Hg: 0.387 0.253 0.330
Hg: 0.830 0.887 0.253
Hg: 0.558 0.635 0.387
Hg: 0.077 0.635 0.747
Hg: 0.077 0.442 0.830
Hg: 0.923 0.558 0.170
Hg: 0.830 0.942 0.077
Hg: 0.387 0.135 0.558
Hg: 0.887 0.058 0.635
Hg: 0.753 0.330 0.887
Hg: 0.253 0.865 0.923
Hg: 0.942 0.830 0.577
Hg: 0.613 0.865 0.442
Hg: 0.865 0.613 0.942
Hg: 0.942 0.113 0.865
Hg: 0.135 0.747 0.577
Hg: 0.330 0.577 0.442
Hg: 0.330 0.753 0.387
Hg: 0.423 0.753 0.865
Hg: 0.365 0.442 0.113
Hg: 0.253 0.387 0.830
Hg: 0.058 0.170 0.423
Hg: 0.113 0.942 0.365
Hg: 0.558 0.923 0.670
Hg: 0.670 0.247 0.613
Hg: 0.747 0.613 0.170
Hg: 0.577 0.330 0.942
Hg: 0.423 0.670 0.058
Br: 0.750 0.625 0.375
Br: 0.250 0.875 0.125
Br: 0.125 0.375 0.250
Br: 0.500 0.500 0.000
Br: 0.750 0.125 0.875
Br: 0.875 0.250 0.625
Br: 0.625 0.750 0.875
Br: 0.000 0.500 0.500
Br: 0.250 0.375 0.625
Br: 0.500 0.500 0.500
Br: 0.000 0.000 0.500
Br: 0.375 0.250 0.125
Br: 0.875 0.625 0.750
Br: 0.125 0.750 0.375
Br: 0.000 0.500 0.000
Br: 0.375 0.125 0.750
Br: 0.000 0.000 0.000
Br: 0.625 0.875 0.250
Br: 0.500 0.000 0.000
Br: 0.500 0.000 0.500

***

DFT (PBE-GGA) results for a geometry-optimized HgPtBr6 structure.

The crystal system is monoclinic. The space group is C2/m. The total energy comes out at -2.31 eV/atom.

a b c (Å): 7.806 6.957 6.712
angles (deg): 101.40 107.20 123.46
Element x y z (fractional)
Br: 0.879 0.150 0.308
Br: 0.571 0.842 0.692
Br: 0.121 0.850 0.692
Br: 0.429 0.158 0.308
Br: 0.283 0.566 0.000
Br: 0.717 0.434 0.000
Hg: 0.000 0.000 0.000
Pt: 0.500 0.000 0.000

***

DFT (PBE-GGA) results for a geometry-optimized HgPtBr2 structure.

The crystal system is orthorhombic. As for the density of states at the Fermi level: 1.38 states/eV per cell. The space group is Pmmm. The total energy comes out at -2.09 eV/atom.

a b c (Å): 3.644 6.708 4.139
angles (deg): 90.00 90.00 90.00
Element x y z (fractional)
Br: 0.000 0.000 0.000
Br: 0.500 0.500 0.000
Hg: 0.500 0.000 0.500
Pt: 0.000 0.500 0.500

***

DFT (PBE-GGA) results for a geometry-optimized HgPtBr structure.

The crystal system is triclinic. As for the density of states at the Fermi level: 0.28 states/eV per cell. The space group is P-1. The total energy comes out at -2.72 eV/atom.

a b c (Å): 3.716 6.390 7.058
angles (deg): 83.74 78.23 80.40
Element x y z (fractional)
Br: 0.813 0.255 0.668
Br: 0.187 0.745 0.332
Hg: 0.645 0.683 0.810
Hg: 0.355 0.317 0.190
Pt: 0.268 0.086 0.889
Pt: 0.732 0.914 0.111

***

DFT (PBE-GGA) results for a geometry-optimized HgPtBr structure.

The crystal system is orthorhombic. As for the density of states at the Fermi level: 1.56 states/eV per cell. The space group is Imm2. The total energy comes out at -2.45 eV/atom.

a b c (Å): 6.202 6.202 6.202
angles (deg): 143.51 143.38 52.66
Element x y z (fractional)
Br: 0.982 0.982 0.000
Pt: 0.764 0.764 0.000
Hg: 0.253 0.253 0.000

***

DFT (PBE-GGA) results for a geometry-optimized HgPtBr structure.

The crystal system is orthorhombic. As for the density of states at the Fermi level: 7.60 states/eV per cell. The space group is Cmcm. The total energy comes out at -2.76 eV/atom.

a b c (Å): 5.404 14.906 3.814
angles (deg): 90.00 90.00 90.00
Element x y z (fractional)
Hg: 0.500 0.917 0.750
Hg: 0.000 0.583 0.250
Hg: 0.500 0.083 0.250
Hg: 0.000 0.417 0.750
Pt: 0.000 0.940 0.750
Pt: 0.500 0.560 0.250
Pt: 0.000 0.060 0.250
Pt: 0.500 0.440 0.750
Br: 0.500 0.322 0.250
Br: 0.000 0.178 0.750
Br: 0.000 0.822 0.250
Br: 0.500 0.678 0.750

***

DFT (PBE-GGA) results for a geometry-optimized HgPtBr2 structure.

The crystal system is monoclinic. The space group is Cm. The total energy comes out at -2.48 eV/atom.

a b c (Å): 4.422 4.422 9.387
angles (deg): 64.37 64.37 48.49
Element x y z (fractional)
Br: 0.776 0.776 0.680
Br: 0.949 0.949 0.090
Hg: 0.515 0.515 0.465
Pt: 0.260 0.260 0.265

***

DFT (PBE-GGA) results for a geometry-optimized HgPtBr4 structure.

The crystal system is cubic. As for the density of states at the Fermi level: 9.41 states/eV per cell. The space group is F-43m. The total energy comes out at -1.16 eV/atom.

a b c (Å): 6.145 6.145 6.145
angles (deg): 60.00 60.00 60.00
Element x y z (fractional)
Br: 0.375 0.375 0.876
Br: 0.375 0.375 0.375
Br: 0.375 0.876 0.375
Br: 0.876 0.375 0.375
Pt: 0.000 0.000 0.000
Hg: 0.750 0.750 0.750

***

DFT (PBE-GGA) results for a geometry-optimized HgPtBr2 structure.

The crystal system is tetragonal. As for the density of states at the Fermi level: 5.27 states/eV per cell. The space group is P4/mmm. The total energy comes out at -1.99 eV/atom.

a b c (Å): 3.317 3.317 9.986
angles (deg): 90.00 90.00 90.00
Element x y z (fractional)
Br: 0.000 0.000 0.916
Br: 0.000 0.000 0.584
Pt: 0.500 0.500 0.750
Hg: 0.500 0.500 0.250

***

DFT (PBE-GGA) results for a geometry-optimized HgPtBr2 structure.

The crystal system is trigonal. As for the density of states at the Fermi level: 4.24 states/eV per cell. The space group is R-3m. The total energy comes out at -2.23 eV/atom.

a b c (Å): 11.569 11.569 11.569
angles (deg): 16.25 16.25 16.25
Element x y z (fractional)
Hg: 0.500 0.500 0.500
Br: 0.069 0.069 0.069
Br: 0.931 0.931 0.931
Pt: 0.000 0.000 0.000

***

DFT (PBE-GGA) results for a geometry-optimized HgPtBr structure.

The crystal system is tetragonal. As for the density of states at the Fermi level: 1.72 states/eV per cell. The space group is I4mm. The total energy comes out at -2.33 eV/atom.

a b c (Å): 6.213 6.213 6.213
angles (deg): 147.94 147.94 45.97
Element x y z (fractional)
Pt: 0.680 0.680 0.000
Hg: 0.301 0.301 0.000
Br: 0.019 0.019 0.000